Below is an optimized crystal structure of La6MgCd, with properties calculated at the GGA-PBE level.

The formation energy comes out at -0.027 eV/atom. Its crystal system is triclinic.

The space group is P-1 (No. 2) and the conventional cell measures 6.480, 6.489 and 6.491 Å, with angles of 93.05, 93.16 and 93.23 degrees. The distinct sites, in fractional coordinates, are La at (0.036, 0.039, 0.255), La at (0.255, 0.537, 0.539), La at (0.463, 0.246, 0.961), Mg at (0.000, 0.500, 0.000) and Cd at (0.500, 0.000, 0.500).


Below is an optimized crystal structure of Sn2HOs, with properties calculated at the GGA-PBE level.

Its crystal system is cubic. For the energy above the most stable polymorph in this dataset, the calculation gives 0.000 eV per formula unit.

The space group is Fm-3m (No. 225) and the conventional cell measures 6.450, 6.450 and 6.450 Å, with angles of 90.00, 90.00 and 90.00 degrees. The distinct sites, in fractional coordinates, are Sn at (0.250, 0.250, 0.250), H at (0.000, 0.000, 0.000) and Os at (0.000, 0.000, 0.500).


Below is an optimized crystal structure of TbDySc, with properties calculated at the GGA-PBE level.

The formation energy comes out at 0.077 eV/atom. Its crystal system is hexagonal. For the energy above the most stable polymorph in this dataset, the calculation gives 0.137 eV per formula unit.

The space group is P-6m2 (No. 187) and the conventional cell measures 5.4615, 5.4615 and 3.3727 Å, with angles of 90.00, 90.00 and 120.00 degrees. The distinct sites, in fractional coordinates, are Tb at (0.0000, 0.0000, 0.0000), Dy at (0.6667, 0.3333, 0.5000) and Sc at (0.3333, 0.6667, 0.5000).